Entry 1:
PBE-GGA InI3O9, relaxed; raw formation energy = -0.541 eV/atom; energy = -118.096 eV/cell
1.0
-3.333 6.814 0.007
-3.001 -0.205 6.964
5.374 3.895 3.673
In I O
2 6 18
direct
0.820 0.820 0.820 In
0.180 0.180 0.180 In
0.419 0.721 0.132 I
0.279 0.868 0.581 I
0.868 0.581 0.279 I
0.581 0.279 0.868 I
0.132 0.419 0.721 I
0.721 0.132 0.419 I
0.783 0.268 0.576 O
0.268 0.576 0.783 O
0.576 0.783 0.268 O
0.217 0.732 0.424 O
0.732 0.424 0.217 O
0.424 0.217 0.732 O
0.701 0.918 0.572 O
0.918 0.572 0.701 O
0.705 0.061 0.943 O
0.943 0.705 0.061 O
0.061 0.943 0.705 O
0.295 0.939 0.057 O
0.057 0.295 0.939 O
0.939 0.057 0.295 O
0.428 0.299 0.082 O
0.082 0.428 0.299 O
0.299 0.082 0.428 O
0.572 0.701 0.918 O



Entry 2:
PBE-GGA InIO2, relaxed; raw formation energy = -0.421 eV/atom; energy = -31.781 eV/cell; energy relative to the lowest polymorph listed for this composition = 1.630 eV/f.u.
1.0
5.846 0.000 0.000
0.000 5.846 0.000
2.923 2.923 4.692
I O In
2 4 2
direct
0.000 0.000 0.000 I
0.750 0.250 0.500 I
0.533 0.125 0.250 O
0.217 0.625 0.250 O
0.375 0.467 0.750 O
0.875 0.783 0.750 O
0.500 0.500 0.000 In
0.250 0.750 0.500 In



Entry 3:
PBE-GGA InI3O12, relaxed; raw formation energy = -0.325 eV/atom; energy = -144.172 eV/cell
1.0
-4.905 -4.525 2.677
5.848 -2.972 3.157
0.847 7.783 6.910
In I O
2 6 24
direct
0.500 0.000 0.000 In
0.500 0.000 0.500 In
0.156 0.105 0.676 I
0.844 0.895 0.324 I
0.011 0.740 0.994 I
0.989 0.260 0.006 I
0.329 0.582 0.806 I
0.671 0.418 0.194 I
0.399 0.116 0.798 O
0.601 0.884 0.202 O
0.217 0.004 0.533 O
0.783 0.996 0.467 O
0.177 0.347 0.623 O
0.823 0.653 0.377 O
0.197 0.950 0.016 O
0.803 0.050 0.984 O
0.967 0.733 0.158 O
0.033 0.267 0.842 O
0.192 0.570 0.026 O
0.808 0.430 0.974 O
0.476 0.637 0.654 O
0.524 0.363 0.346 O
0.523 0.734 0.923 O
0.477 0.266 0.077 O
0.136 0.731 0.755 O
0.864 0.269 0.245 O
0.591 0.806 0.663 O
0.409 0.194 0.337 O
0.663 0.264 0.637 O
0.337 0.736 0.363 O
0.263 0.594 0.411 O
0.737 0.406 0.589 O



Entry 4:
PBE-GGA InI2O2, relaxed; raw formation energy = 0.329 eV/atom; energy = -28.221 eV/cell; energy relative to the lowest polymorph listed for this composition = 1.904 eV/f.u.
1.0
8.512 0.000 0.000
0.000 8.512 0.000
0.000 0.000 3.081
I O In
4 4 2
direct
0.137 0.637 0.500 I
0.637 0.863 0.500 I
0.863 0.363 0.500 I
0.363 0.137 0.500 I
0.272 0.772 0.000 O
0.772 0.728 0.000 O
0.728 0.228 0.000 O
0.228 0.272 0.000 O
0.000 0.000 0.000 In
0.500 0.500 0.000 In



Entry 5:
PBE-GGA In2IO2, relaxed; raw formation energy = -0.920 eV/atom; energy = -21.542 eV/cell
1.0
3.987 0.000 0.000
0.000 3.987 0.000
1.994 1.994 6.182
I O In
1 2 2
direct
0.000 0.000 0.000 I
0.750 0.250 0.500 O
0.250 0.750 0.500 O
0.331 0.331 0.338 In
0.669 0.669 0.662 In



Entry 6:
PBE-GGA InIO2, relaxed; raw formation energy = 0.376 eV/atom; energy = -12.699 eV/cell; energy relative to the lowest polymorph listed for this composition = 4.821 eV/f.u.
1.0
0.000 3.152 3.152
3.152 0.000 3.152
3.152 3.152 0.000
I O In
1 2 1
direct
0.500 0.500 0.500 I
0.250 0.250 0.250 O
0.750 0.750 0.750 O
0.000 0.000 0.000 In



Entry 7:
PBE-GGA InI2O2, relaxed; raw formation energy = -0.031 eV/atom; energy = -15.908 eV/cell; energy relative to the lowest polymorph listed for this composition = 0.107 eV/f.u.
1.0
-5.320 1.773 -1.409
-0.538 -4.484 -3.611
-4.468 -3.587 0.491
I O In
2 2 1
direct
0.750 0.250 0.500 I
0.250 0.750 0.500 I
0.423 0.423 0.154 O
0.577 0.577 0.846 O
0.000 0.000 0.000 In



Entry 8:
PBE-GGA InI3O, relaxed; raw formation energy = 0.127 eV/atom; energy = -11.714 eV/cell; energy relative to the lowest polymorph listed for this composition = 0.000 eV/f.u.
1.0
-2.598 2.455 3.847
-4.560 -1.570 -2.077
0.179 -4.368 2.908
I O In
3 1 1
direct
0.000 0.500 0.000 I
0.000 0.000 0.500 I
0.500 0.000 0.000 I
0.000 0.000 0.000 O
0.500 0.500 0.500 In



Entry 9:
PBE-GGA InI3O, relaxed; raw formation energy = 0.657 eV/atom; energy = -9.064 eV/cell; energy relative to the lowest polymorph listed for this composition = 2.651 eV/f.u.
1.0
5.873 0.000 0.000
0.000 5.873 0.000
0.000 0.000 5.873
I O In
3 1 1
direct
0.000 0.500 0.000 I
0.000 0.000 0.500 I
0.500 0.000 0.000 I
0.500 0.500 0.500 O
0.000 0.000 0.000 In



Entry 10:
PBE-GGA InI2O2, relaxed; raw formation energy = 0.296 eV/atom; energy = -14.276 eV/cell; energy relative to the lowest polymorph listed for this composition = 1.739 eV/f.u.
1.0
-5.341 3.371 -0.832
-3.377 -4.687 2.685
0.490 1.630 3.461
I O In
2 2 1
direct
0.000 0.500 0.000 I
0.500 0.000 0.000 I
0.500 0.500 0.500 O
0.000 0.000 0.500 O
0.000 0.000 0.000 In



Entry 11:
PBE-GGA InI2O2, relaxed; raw formation energy = -0.052 eV/atom; energy = -16.015 eV/cell; energy relative to the lowest polymorph listed for this composition = 0.000 eV/f.u.
1.0
-2.442 3.428 0.871
-1.300 0.114 -4.095
-4.965 -3.909 1.468
I O In
2 2 1
direct
0.500 0.500 0.500 I
0.000 0.000 0.500 I
0.000 0.500 0.000 O
0.500 0.000 0.000 O
0.000 0.000 0.000 In



Entry 12:
PBE-GGA InI2O2, relaxed; raw formation energy = 0.545 eV/atom; energy = -13.031 eV/cell; energy relative to the lowest polymorph listed for this composition = 2.984 eV/f.u.
1.0
-1.082 4.052 -2.670
-4.518 -1.840 -0.961
-1.573 1.969 3.627
I O In
2 2 1
direct
0.000 0.500 0.000 I
0.500 0.000 0.000 I
0.000 0.000 0.000 O
0.000 0.000 0.500 O
0.500 0.500 0.500 In



Entry 13:
PBE-GGA InI2O2, relaxed; raw formation energy = 0.025 eV/atom; energy = -15.629 eV/cell; energy relative to the lowest polymorph listed for this composition = 0.386 eV/f.u.
1.0
4.229 0.000 0.000
0.000 4.229 0.000
0.000 0.000 7.883
I O In
2 2 1
direct
0.000 0.000 0.000 I
0.000 0.000 0.500 I
0.000 0.500 0.000 O
0.500 0.000 0.000 O
0.500 0.500 0.500 In



Entry 14:
PBE-GGA InIO6, relaxed; raw formation energy = -0.261 eV/atom; energy = -36.123 eV/cell
1.0
-4.367 -2.455 1.400
-0.189 -2.614 4.494
-2.971 2.122 4.127
In I O
1 1 6
direct
0.500 0.500 0.500 In
0.000 0.000 0.000 I
0.085 0.371 0.765 O
0.778 0.085 0.766 O
0.630 0.221 0.235 O
0.222 0.915 0.234 O
0.915 0.629 0.235 O
0.370 0.779 0.765 O



Entry 15:
PBE-GGA InIO2, relaxed; raw formation energy = -0.829 eV/atom; energy = -17.520 eV/cell; energy relative to the lowest polymorph listed for this composition = 0.000 eV/f.u.
1.0
2.017 0.000 6.543
-1.008 1.746 6.543
-1.008 -1.746 6.543
I O In
1 2 1
direct
0.000 0.000 0.000 I
0.885 0.885 0.885 O
0.115 0.115 0.115 O
0.500 0.500 0.500 In



Entry 16:
PBE-GGA InOsI2O, relaxed; raw formation energy = 0.894 eV/atom; energy = -17.557 eV/cell; energy relative to the lowest polymorph listed for this composition = 5.075 eV/f.u.
1.0
5.956 0.000 0.000
0.000 5.956 0.000
0.000 0.000 3.891
I Os O In
2 1 1 1
direct
0.000 0.500 0.000 I
0.500 0.000 0.000 I
0.500 0.500 0.500 Os
0.000 0.000 0.500 O
0.000 0.000 0.000 In



Entry 17:
PBE-GGA InOsIO2, relaxed; raw formation energy = 0.691 eV/atom; energy = -21.977 eV/cell; energy relative to the lowest polymorph listed for this composition = 3.784 eV/f.u.
1.0
4.059 0.000 0.000
0.000 4.059 0.000
0.000 0.000 6.239
I Os O In
1 1 2 1
direct
0.000 0.000 0.500 I
0.500 0.500 0.500 Os
0.000 0.500 0.000 O
0.500 0.000 0.000 O
0.000 0.000 0.000 In



Entry 18:
PBE-GGA InOsI2O, relaxed; raw formation energy = -0.121 eV/atom; energy = -22.633 eV/cell; energy relative to the lowest polymorph listed for this composition = 0.000 eV/f.u.
1.0
-2.663 1.195 -4.993
-3.304 -4.705 0.636
-2.573 2.059 1.865
I Os O In
2 1 1 1
direct
0.000 0.500 0.000 I
0.500 0.000 0.000 I
0.000 0.000 0.000 Os
0.000 0.000 0.500 O
0.500 0.500 0.500 In



Entry 19:
PBE-GGA InOsIO2, relaxed; raw formation energy = -0.065 eV/atom; energy = -25.761 eV/cell; energy relative to the lowest polymorph listed for this composition = 0.000 eV/f.u.
1.0
-1.896 -3.157 1.637
2.494 0.142 3.162
-3.728 3.679 2.775
I Os O In
1 1 2 1
direct
0.000 0.000 0.500 I
0.000 0.000 0.000 Os
0.000 0.500 0.000 O
0.500 0.000 0.000 O
0.500 0.500 0.500 In



Entry 20:
PBE-GGA InPIO4, relaxed; raw formation energy = -1.501 eV/atom; energy = -80.070 eV/cell
1.0
6.418 0.606 -0.428
2.698 5.855 -0.428
1.386 0.982 5.905
In P I O
2 2 2 8
direct
0.301 0.301 0.838 In
0.699 0.699 0.162 In
0.639 0.639 0.730 P
0.361 0.361 0.270 P
0.017 0.017 0.257 I
0.983 0.983 0.743 I
0.288 0.288 0.510 O
0.712 0.712 0.490 O
0.130 0.506 0.136 O
0.498 0.498 0.256 O
0.494 0.870 0.864 O
0.506 0.130 0.136 O
0.502 0.502 0.744 O
0.870 0.494 0.864 O